*1*
Crystalline SrCoF at its relaxed geometry, computed with PBE+U.

CIF file:
```
data_SrCoF
_chemical_formula_sum 'Sr4 Co4 F4'
_space_group_name_H-M_alt 'F -4 3 m'
_space_group_IT_number 216
_space_group_name_Hall 'F -4 2 3'
_cell_length_a 6.881
_cell_length_b 6.881
_cell_length_c 6.881
_cell_angle_alpha 90.00
_cell_angle_beta 90.00
_cell_angle_gamma 90.00
loop_
_atom_site_label
_atom_site_fract_x
_atom_site_fract_y
_atom_site_fract_z
_atom_site_occupancy
Sr1 0.000 0.000 0.000 1
Co1 0.250 0.250 0.250 1
F1 0.000 0.000 0.500 1
```



*2*
Crystalline SrCoF at its relaxed geometry, computed with PBE+U.

CIF file:
```
data_SrCoF
_chemical_formula_sum 'Sr4 Co4 F4'
_space_group_name_H-M_alt 'P n m a'
_space_group_IT_number 62
_space_group_name_Hall '-P 2ac 2n'
_cell_length_a 16.214
_cell_length_b 4.798
_cell_length_c 3.299
_cell_angle_alpha 90.00
_cell_angle_beta 90.00
_cell_angle_gamma 90.00
loop_
_atom_site_label
_atom_site_fract_x
_atom_site_fract_y
_atom_site_fract_z
_atom_site_occupancy
Sr1 0.089 0.250 0.000 1
Co1 0.241 0.750 0.007 1
F1 0.000 0.000 0.500 1
```



Of them, the most stable is *2* and the least stable is *1*.